1.
Density functional theory data (PBE-GGA) for a geometry-optimized TaInCu2 structure.

The structure in POSCAR format:
```
TaInCu2
1.0
-3.366 0.501 -3.550
-1.441 -3.875 2.664
-1.489 1.688 1.649
Cu In Ta
2 1 1
Direct
0.000 0.000 0.000
0.500 0.500 0.000
0.500 0.000 0.500
0.000 0.500 0.500
```

Calculated values
Formation energy (eV per atom): 0.29
Crystal system: orthorhombic
Energy (eV per atom): -5.41


2.
Density functional theory data (PBE-GGA) for a geometry-optimized Pr2Ni16H structure.

The structure in POSCAR format:
```
Pr2Ni16H
1.0
6.252 -0.022 0.680
0.608 6.223 0.680
-0.024 -0.022 6.289
Pr Ni H
2 16 1
Direct
0.669 0.669 0.669
0.341 0.341 0.341
0.706 0.997 0.288
0.997 0.288 0.706
0.288 0.706 0.997
0.997 0.706 0.288
0.706 0.288 0.997
0.288 0.997 0.706
0.342 0.847 0.342
0.847 0.342 0.342
0.342 0.342 0.847
0.653 0.153 0.653
0.153 0.653 0.653
0.653 0.653 0.153
0.002 0.491 0.002
0.491 0.002 0.002
0.002 0.002 0.491
0.074 0.074 0.074
0.948 0.948 0.948
```

Calculated values
Crystal system: trigonal
Energy (eV per atom): -5.62


3.
Density functional theory data (PBE-GGA) for a geometry-optimized SmDy2O structure.

The structure in POSCAR format:
```
SmDy2O
1.0
-1.482 2.532 1.262
0.644 -1.086 2.934
7.597 4.455 -0.018
O Sm Dy
1 1 2
Direct
0.500 0.500 0.000
0.500 0.500 0.500
0.000 0.000 0.826
0.000 0.000 0.174
```

Calculated values
Energy relative to the lowest polymorph listed for this composition (kJ/mol of atoms): 38.2
Crystal system: tetragonal
E_form (uncorrected) (eV per atom): -0.807
Energy (eV per atom): -5.53


4.
Density functional theory data (PBE-GGA) for a geometry-optimized Tb6CePm3 structure.

The structure in POSCAR format:
```
Tb6CePm3
1.0
8.041 0.000 -3.264
-0.626 8.773 -1.543
-2.309 0.021 5.849
Tb Ce Pm
6 1 3
Direct
0.301 0.354 0.241
0.061 0.646 0.759
0.699 0.646 0.759
0.939 0.354 0.241
0.382 0.129 0.763
0.618 0.871 0.237
0.500 0.500 0.000
0.780 0.269 0.559
0.220 0.731 0.441
0.000 0.000 0.000
```

Calculated values
Formation energy (eV per atom): 0.30
Crystal system: monoclinic
Energy (eV per atom): -4.49